Density functional theory data (PBE) for an optimized crystal structure of Ho4SiTeS2.

a b c (Å): 6.972 4.049 7.163
angles (deg): 90.00 109.35 90.00
Space group P2/m (No. 10)
One atom of each set of equivalent atoms:
Ho 0.231 0.000 0.219 [2 per cell]
Ho 0.246 0.500 0.766 [2 per cell]
Si 0.500 0.000 0.000 [1 per cell]
Te 0.500 0.500 0.500 [1 per cell]
S 0.000 0.000 0.500 [1 per cell]
S 0.000 0.500 0.000 [1 per cell]

Output
M_tot = 0.00 μB/cell
D(E_F) = 2.64 states/eV/f.u.
Raw formation energy = -1.51 eV per atom
Total DFT energy (no corrections) = -47.2 eV per formula unit


Density functional theory data (PBE) for an optimized crystal structure of MnNiTe3.

a b c (Å): 12.767 11.697 6.563
angles (deg): 90.00 109.60 90.00
Space group C2/c (No. 15)
One atom of each set of equivalent atoms:
Mn 0.233 0.104 0.447 [8 per cell]
Ni 0.000 0.082 0.250 [4 per cell]
Ni 0.000 0.406 0.750 [4 per cell]
Te 0.107 0.251 0.570 [8 per cell]
Te 0.126 0.083 0.010 [8 per cell]
Te 0.130 0.451 0.141 [8 per cell]

Output
Distance to the lowest polymorph of the same formula = 0.088 eV per atom
M_tot = 21.99 μB/cell
D(E_F) = 3.90 states/eV/f.u.
Raw formation energy = -0.07 eV per atom
Total DFT energy (no corrections) = -24.7 eV per formula unit